Here is crystalline Mo2PS at its relaxed geometry from Alexandria. Energies are from GGA-PBEsol.

```
data_Mo2PS
_chemical_formula_sum 'Mo8 P4 S4'
_cell_length_a 4.406
_cell_length_b 4.406
_cell_length_c 13.870
_cell_angle_alpha 90.00
_cell_angle_beta 90.00
_cell_angle_gamma 90.00
_space_group_name_H-M_alt 'I -4 2 d'
_space_group_IT_number 122
_space_group_name_Hall 'I -4 2bw'
loop_
_atom_site_label
_atom_site_type_symbol
_atom_site_fract_x
_atom_site_fract_y
_atom_site_fract_z
Mo1 Mo 0.235 0.250 0.125
P1 P 0.000 0.000 0.500
S1 S 0.000 0.000 0.000
```

Summary:
Fermi-level density of states: 0.82 states/eV per atom
E_form (uncorrected): 0.07 eV/f.u.
ρ: 6.29 g/cm3


Here is crystalline SiMoP2S at its relaxed geometry from Alexandria. Energies are from GGA-PBEsol.

```
data_SiMoP2S
_chemical_formula_sum 'Si1 Mo1 P2 S1'
_cell_length_a 4.388
_cell_length_b 4.388
_cell_length_c 4.394
_cell_angle_alpha 90.00
_cell_angle_beta 90.00
_cell_angle_gamma 90.00
_space_group_name_H-M_alt 'P 4/m m m'
_space_group_IT_number 123
_space_group_name_Hall '-P 4 2'
loop_
_atom_site_label
_atom_site_type_symbol
_atom_site_fract_x
_atom_site_fract_y
_atom_site_fract_z
Si1 Si 0.000 0.000 0.000
Mo1 Mo 0.500 0.500 0.500
P1 P 0.000 0.500 0.000
S1 S 0.000 0.000 0.500
```

Summary:
Fermi-level density of states: 0.41 states/eV per atom
E_form (uncorrected): 4.33 eV/f.u.
ρ: 4.28 g/cm3


Here is crystalline SiMoP2S at its relaxed geometry from Alexandria. Energies are from GGA-PBEsol.

```
data_SiMoP2S
_chemical_formula_sum 'Si1 Mo1 P2 S1'
_cell_length_a 4.703
_cell_length_b 4.703
_cell_length_c 4.480
_cell_angle_alpha 90.00
_cell_angle_beta 90.00
_cell_angle_gamma 90.00
_space_group_name_H-M_alt 'P 4/m m m'
_space_group_IT_number 123
_space_group_name_Hall '-P 4 2'
loop_
_atom_site_label
_atom_site_type_symbol
_atom_site_fract_x
_atom_site_fract_y
_atom_site_fract_z
Si1 Si 0.000 0.000 0.000
Mo1 Mo 0.500 0.500 0.500
P1 P 0.000 0.500 0.500
S1 S 0.500 0.500 0.000
```

Summary:
Fermi-level density of states: 0.91 states/eV per atom
E_form (uncorrected): 3.25 eV/f.u.
ρ: 3.65 g/cm3


Here is crystalline SnMoP2S at its relaxed geometry from Alexandria. Energies are from GGA-PBEsol.

```
data_SnMoP2S
_chemical_formula_sum 'Sn1 Mo1 P2 S1'
_cell_length_a 4.711
_cell_length_b 4.711
_cell_length_c 4.614
_cell_angle_alpha 90.00
_cell_angle_beta 90.00
_cell_angle_gamma 90.00
_space_group_name_H-M_alt 'P 4/m m m'
_space_group_IT_number 123
_space_group_name_Hall '-P 4 2'
loop_
_atom_site_label
_atom_site_type_symbol
_atom_site_fract_x
_atom_site_fract_y
_atom_site_fract_z
Sn1 Sn 0.000 0.000 0.000
Mo1 Mo 0.500 0.500 0.500
P1 P 0.000 0.500 0.500
S1 S 0.500 0.500 0.000
```

Summary:
Fermi-level density of states: 0.75 states/eV per atom
E_form (uncorrected): 1.25 eV/f.u.
ρ: 5.01 g/cm3


Here is crystalline TiMoP2S at its relaxed geometry from Alexandria. Energies are from GGA-PBEsol.

```
data_TiMoP2S
_chemical_formula_sum 'Ti1 Mo1 P2 S1'
_cell_length_a 4.609
_cell_length_b 4.609
_cell_length_c 4.492
_cell_angle_alpha 90.00
_cell_angle_beta 90.00
_cell_angle_gamma 90.00
_space_group_name_H-M_alt 'P 4/m m m'
_space_group_IT_number 123
_space_group_name_Hall '-P 4 2'
loop_
_atom_site_label
_atom_site_type_symbol
_atom_site_fract_x
_atom_site_fract_y
_atom_site_fract_z
Ti1 Ti 0.000 0.000 0.000
Mo1 Mo 0.500 0.500 0.500
P1 P 0.000 0.500 0.000
S1 S 0.000 0.000 0.500
```

Summary:
Fermi-level density of states: 0.69 states/eV per atom
E_form (uncorrected): 3.08 eV/f.u.
ρ: 4.14 g/cm3


Here is crystalline Tl2MoPS at its relaxed geometry from Alexandria. Energies are from GGA-PBEsol.

```
data_Tl2MoPS
_chemical_formula_sum 'Tl2 Mo1 P1 S1'
_cell_length_a 5.237
_cell_length_b 5.237
_cell_length_c 4.448
_cell_angle_alpha 90.00
_cell_angle_beta 90.00
_cell_angle_gamma 90.00
_space_group_name_H-M_alt 'P 4/m m m'
_space_group_IT_number 123
_space_group_name_Hall '-P 4 2'
loop_
_atom_site_label
_atom_site_type_symbol
_atom_site_fract_x
_atom_site_fract_y
_atom_site_fract_z
Tl1 Tl 0.000 0.500 0.000
Mo1 Mo 0.000 0.000 0.500
P1 P 0.500 0.500 0.000
S1 S 0.500 0.500 0.500
```

Summary:
Fermi-level density of states: 0.50 states/eV per atom
E_form (uncorrected): 5.82 eV/f.u.
ρ: 7.73 g/cm3


Here is crystalline YMoPS2 at its relaxed geometry from Alexandria. Energies are from GGA-PBEsol.

```
data_YMoPS2
_chemical_formula_sum 'Y1 Mo1 P1 S2'
_cell_length_a 5.029
_cell_length_b 5.029
_cell_length_c 5.182
_cell_angle_alpha 90.00
_cell_angle_beta 90.00
_cell_angle_gamma 90.00
_space_group_name_H-M_alt 'P 4/m m m'
_space_group_IT_number 123
_space_group_name_Hall '-P 4 2'
loop_
_atom_site_label
_atom_site_type_symbol
_atom_site_fract_x
_atom_site_fract_y
_atom_site_fract_z
Y1 Y 0.000 0.000 0.000
Mo1 Mo 0.500 0.500 0.500
P1 P 0.000 0.000 0.500
S1 S 0.000 0.500 0.000
```

Summary:
Fermi-level density of states: 0.80 states/eV per atom
E_form (uncorrected): 3.54 eV/f.u.
ρ: 3.55 g/cm3


Here is crystalline Sb2MoP at its relaxed geometry from Alexandria. Energies are from GGA-PBEsol.

```
data_Sb2MoP
_chemical_formula_sum 'Sb2 Mo1 P1'
_cell_length_a 3.334
_cell_length_b 4.489
_cell_length_c 5.161
_cell_angle_alpha 90.00
_cell_angle_beta 90.00
_cell_angle_gamma 90.00
_space_group_name_H-M_alt 'P m m m'
_space_group_IT_number 47
_space_group_name_Hall '-P 2 2'
loop_
_atom_site_label
_atom_site_type_symbol
_atom_site_fract_x
_atom_site_fract_y
_atom_site_fract_z
Sb1 Sb 0.000 0.000 0.000
Sb2 Sb 0.500 0.000 0.500
Mo1 Mo 0.000 0.500 0.500
P1 P 0.500 0.500 0.000
```

Summary:
Fermi-level density of states: 0.85 states/eV per atom
E_form (uncorrected): 2.50 eV/f.u.
ρ: 7.97 g/cm3


- Number 6 is which compound?
  Tl2MoPS


- Which value of E_form (uncorrected) does entry 8 give?
  2.50 eV/f.u.


Repeat the fourth record exactly.
Here is crystalline SnMoP2S at its relaxed geometry from Alexandria. Energies are from GGA-PBEsol.

```
data_SnMoP2S
_chemical_formula_sum 'Sn1 Mo1 P2 S1'
_cell_length_a 4.711
_cell_length_b 4.711
_cell_length_c 4.614
_cell_angle_alpha 90.00
_cell_angle_beta 90.00
_cell_angle_gamma 90.00
_space_group_name_H-M_alt 'P 4/m m m'
_space_group_IT_number 123
_space_group_name_Hall '-P 4 2'
loop_
_atom_site_label
_atom_site_type_symbol
_atom_site_fract_x
_atom_site_fract_y
_atom_site_fract_z
Sn1 Sn 0.000 0.000 0.000
Mo1 Mo 0.500 0.500 0.500
P1 P 0.000 0.500 0.500
S1 S 0.500 0.500 0.000
```

Summary:
Fermi-level density of states: 0.75 states/eV per atom
E_form (uncorrected): 1.25 eV/f.u.
ρ: 5.01 g/cm3